[1]
Material: KBe2SbF8
Method: DFT, PBE
State: optimized geometry

Cell: 8.6554 8.6554 8.6554 Å, 33.46 33.46 33.46°
Element x y z (fractional)
K1 0.0000 0.0000 0.0000
Be1 0.2492 0.2492 0.2492
Be2 0.7508 0.7508 0.7508
Sb1 0.5000 0.5000 0.5000
F1 0.0773 0.4857 0.7649
F2 0.2351 0.5143 0.9227
F3 0.3097 0.3097 0.3097
F4 0.4857 0.7649 0.0773
F5 0.5143 0.9227 0.2351
F6 0.6903 0.6903 0.6903
F7 0.7649 0.0773 0.4857
F8 0.9227 0.2351 0.5143

Calculated values
As for the uncorrected formation energy: -2857 meV per atom. Its total energy is -0.190 Ha/atom. The space group is No. 155.

***

[2]
Material: LiCaTi3
Method: DFT, PBE
State: optimized geometry

Cell: 4.8823 4.8823 4.8823 Å, 90.00 90.00 90.00°
Element x y z (fractional)
Li1 0.0000 0.0000 0.0000
Ca1 0.5000 0.5000 0.5000
Ti1 0.0000 0.5000 0.5000
Ti2 0.5000 0.0000 0.5000
Ti3 0.5000 0.5000 0.0000

Calculated values
The value obtained for the offset from the most stable computed form is 76.0 kJ per mole of atoms. Its total energy is -0.140 Ha/atom. The space group is No. 221. For the formation enthalpy at 0 K, the calculation gives 1698 meV per atom.